Crystalline KBe at its relaxed geometry, computed with GGA-PBE.

Results
* total energy: -1.575 eV per atom
* space group: P-3m1, No. 164

POSCAR file:
```
KBe
1.0
3.9262 0.0000 0.0000
-1.9631 3.4002 0.0000
0.0000 0.0000 10.0076
K Be
2 2
direct
0.3333 0.6667 0.2086
0.6667 0.3333 0.7914
0.3333 0.6667 0.5168
0.6667 0.3333 0.4832
```